[1]
# Cu3IrPt4

Crystalline Cu3IrPt4 at its relaxed geometry (PBE, Alexandria).

The structure in extended XYZ format:
```
8
Lattice="-1.938 1.938 7.581 1.938 -1.938 7.581 1.938 1.938 -7.581" Properties=species:S:1:pos:R:3 pbc="T T T"
Cu 0.000 0.000 0.000
Cu 0.000 0.000 3.787
Cu 0.000 0.000 11.375
Ir 0.000 0.000 7.581
Pt 1.938 0.000 1.911
Pt 1.938 0.000 5.671
Pt 0.000 1.938 1.911
Pt 0.000 1.938 5.671
```

## Properties
The value obtained for the total energy is -5.75 eV per atom. The density is 17.0 g cm⁻³. As for the crystal system: tetragonal. Its formation enthalpy at 0 K is -0.666 eV/f.u. The volume comes out at 14.23 Å³/atom.

=====

[2]
# SiAgP

Crystalline SiAgP at its relaxed geometry (PBE, Alexandria).

The structure in extended XYZ format:
```
3
Lattice="-1.631 1.631 4.867 1.631 -1.631 4.867 1.631 1.631 -4.867" Properties=species:S:1:pos:R:3 pbc="T T T"
Si 0.000 0.000 0.000
Ag 0.000 0.000 2.882
P 0.000 0.000 5.582
```

## Properties
The value obtained for the total energy is -4.18 eV per atom. The density is 5.4 g cm⁻³. As for the crystal system: tetragonal. The calculation puts the excess energy over the best structure of this formula in the dataset at 0.3027 eV per atom. The volume comes out at 17.25 Å³/atom.